DFT (GGA-PBE) results for a geometry-optimized GaP2Ru2 structure.

Results
For the energy of formation from the pure elements, the calculation gives -0.21 eV/atom. The calculation puts the total DFT energy (no corrections) at -6.69 eV per atom. The space group is I4/mmm.

Cell: 6.3248 6.3248 6.3248 Å, 146.78 146.78 47.69°
Last column: nearest neighbours and their distance in Å.
Sites, in units of the cell vectors:
Ga (0.0000, 0.0000, 0.0000)  8 Ru 2.94
P (0.2500, 0.7500, 0.5000)  4 Ru 2.31, 4 P 2.56
P (0.7500, 0.2500, 0.5000)  4 Ru 2.31, 4 P 2.56
Ru (0.3741, 0.3741, 0.0000)  4 P 2.31
Ru (0.6259, 0.6259, 0.0000)  4 P 2.31

DFT (GGA-PBE) results for a geometry-optimized Ga2PRu structure.

Results
For the energy of formation from the pure elements, the calculation gives 0.46 eV/atom. The calculation puts the total DFT energy (no corrections) at -4.73 eV per atom. The space group is I-42d.

Cell: 6.4702 6.4702 6.4702 Å, 126.00 126.00 79.88°
Last column: nearest neighbours and their distance in Å.
Sites, in units of the cell vectors:
Ga (0.1152, 0.6250, 0.9902)  2 P 2.38, 2 Ru 2.45
Ga (0.3750, 0.3652, 0.4902)  2 P 2.38, 2 Ru 2.45
Ga (0.6348, 0.1250, 0.0098)  2 P 2.38, 2 Ru 2.45
Ga (0.8750, 0.8848, 0.5098)  2 P 2.38, 2 Ru 2.45
P (0.0000, 0.0000, 0.0000)  4 Ga 2.38
P (0.7500, 0.2500, 0.5000)  4 Ga 2.38
Ru (0.2500, 0.7500, 0.5000)  4 Ga 2.45
Ru (0.5000, 0.5000, 0.0000)  4 Ga 2.45